Here is a relaxed structure of Ba4HI5 from the Alexandria database. Energies are from PBE-GGA.

Cell: 5.037 9.821 10.464 Å, 104.31 103.93 90.00°
Element x y z (fractional)
Ba 0.639 0.072 0.279
Ba 0.002 0.254 0.003
Ba 0.361 0.928 0.721
Ba 0.998 0.746 0.997
H 0.500 0.000 0.000
I 0.173 0.324 0.347
I 0.173 0.846 0.347
I 0.827 0.154 0.653
I 0.500 0.500 0.000
I 0.827 0.676 0.653

Computed properties:
Space group: No. 12



Here is a relaxed structure of BaHI2 from the Alexandria database. Energies are from PBE-GGA.

Cell: 4.789 7.029 9.500 Å, 83.58 87.77 71.59°
Element x y z (fractional)
Ba 0.071 0.894 0.395
Ba 0.420 0.175 0.729
H 0.869 0.572 0.896
H 0.519 0.992 0.504
I 0.798 0.367 0.980
I 0.573 0.934 0.124
I 0.101 0.793 0.761
I 0.826 0.413 0.488

Computed properties:
Space group: No. 1



| no. | total energy (eV/cell) |
| --- | --- |
| 1 | -31.66 |
| 2 | -25.25 |